MnAlTl2Co: optimized geometry, PBEsol.

```
MnAlTl2Co
1.0
4.561 0.000 0.000
0.000 4.926 0.000
0.000 0.000 4.926
Tl Mn Co Al
2 1 1 1
Cartesian
0.000 0.000 2.463
0.000 2.463 0.000
2.280 0.000 0.000
0.000 0.000 0.000
2.280 2.463 2.463
```

Energy, Ry/atom: -0.3440
V, Å³ per atom: 22.136
Space group: P4/mmm